[1]
Density functional theory data (PBE) for crystalline LaPm5Te4 at its relaxed geometry.

extended XYZ file:
```
20
Lattice="9.359 0.000 0.000 0.000 10.108 0.000 0.000 0.000 7.772" Properties=species:S:1:pos:R:3 pbc="T T T"
La 2.340 2.527 1.145
La 7.019 7.581 6.627
Pm 0.453 0.565 5.896
Pm 0.453 4.489 5.896
Pm 2.340 7.581 6.025
Pm 4.227 0.565 5.896
Pm 4.227 4.489 5.896
Pm 5.132 5.619 1.876
Pm 5.132 9.543 1.876
Pm 7.019 2.527 1.747
Pm 8.906 5.619 1.876
Pm 8.906 9.543 1.876
Te 0.171 2.527 3.464
Te 2.340 5.536 0.498
Te 2.340 9.625 0.498
Te 4.508 2.527 3.464
Te 4.851 7.581 4.309
Te 7.019 0.483 7.274
Te 7.019 4.571 7.274
Te 9.188 7.581 4.309
```

Final energy in eV per atom: -4.99
Total moment in μB per cell: 0.00
SG: No. 59
Fermi-level density of states in states/eV per cell: 20.57
Density in Mg/m³: 6.21


[2]
Density functional theory data (PBE) for crystalline LaPmTe6 at its relaxed geometry.

extended XYZ file:
```
8
Lattice="4.408 0.000 0.000 0.000 2.203 13.816 0.000 -2.203 13.816" Properties=species:S:1:pos:R:3 pbc="T T T"
La 0.000 0.000 0.000
Pm 2.204 0.000 18.099
Te 0.000 0.000 3.353
Te 0.000 0.000 11.183
Te 0.000 0.000 20.660
Te 2.204 0.000 6.845
Te 2.204 0.000 14.788
Te 2.204 0.000 24.999
```

Final energy in eV per atom: -4.59
Total moment in μB per cell: 0.00
SG: No. 38
Fermi-level density of states in states/eV per cell: 2.11
Density in Mg/m³: 6.49